Record 1
A plane-wave DFT calculation with PBE-GGA was carried out for La2FeSe after structural relaxation.

Calculated values
V, Å³ per atom: 23.426
DOS at the Fermi energy, states/eV per cell: 5.1
Density, g/cm3: 7.31
Formation energy (no corrections), meV per atom: -11
Spin magnetization, μB/f.u.: 0.9

Geometry as CIF:
```
data_La2FeSe
_symmetry_space_group_name_H-M 'P 1'
_symmetry_Int_Tables_number 1
_cell_length_a 5.098
_cell_length_b 5.098
_cell_length_c 5.098
_cell_angle_alpha 60.00
_cell_angle_beta 60.00
_cell_angle_gamma 60.00
loop_
_symmetry_equiv_pos_as_xyz
'x,y,z'
loop_
_atom_site_label
_atom_site_fract_x
_atom_site_fract_y
_atom_site_fract_z
_atom_site_occupancy
Fe1 0.500 0.500 0.500 1
La1 0.250 0.250 0.250 1
La2 0.000 0.000 0.000 1
Se1 0.750 0.750 0.750 1
```


Record 2
A plane-wave DFT calculation with PBE-GGA was carried out for Ba3Pd after structural relaxation.

Calculated values
V, Å³ per atom: 50.528
DOS at the Fermi energy, states/eV per cell: 4.3
Density, g/cm3: 4.26
Energy relative to the elements, eV per atom: -0.15
Spin magnetization, μB/f.u.: 0.0

Geometry as CIF:
```
data_Ba3Pd
_symmetry_space_group_name_H-M 'P 1'
_symmetry_Int_Tables_number 1
_cell_length_a 4.215
_cell_length_b 4.208
_cell_length_c 11.394
_cell_angle_alpha 90.00
_cell_angle_beta 90.00
_cell_angle_gamma 90.00
loop_
_symmetry_equiv_pos_as_xyz
'x,y,z'
loop_
_atom_site_label
_atom_site_fract_x
_atom_site_fract_y
_atom_site_fract_z
_atom_site_occupancy
Ba1 0.500 0.500 0.109 1
Ba2 0.500 0.000 0.780 1
Ba3 0.000 0.500 0.459 1
Pd1 0.000 0.000 0.985 1
```


Record 3
A plane-wave DFT calculation with PBE-GGA was carried out for La2Pr3Y7 after structural relaxation.

Calculated values
V, Å³ per atom: 34.230
DOS at the Fermi energy, states/eV per cell: 19.6
Density, g/cm3: 5.35
Energy relative to the elements, eV per atom: 0.09
Spin magnetization, μB/f.u.: 0.0

Geometry as CIF:
```
data_La2Pr3Y7
_symmetry_space_group_name_H-M 'P 1'
_symmetry_Int_Tables_number 1
_cell_length_a 3.578
_cell_length_b 6.467
_cell_length_c 18.326
_cell_angle_alpha 75.65
_cell_angle_beta 90.00
_cell_angle_gamma 90.00
loop_
_symmetry_equiv_pos_as_xyz
'x,y,z'
loop_
_atom_site_label
_atom_site_fract_x
_atom_site_fract_y
_atom_site_fract_z
_atom_site_occupancy
Y1 0.500 0.246 0.499 1
Y2 0.500 0.754 0.501 1
Y3 0.000 0.436 0.837 1
Y4 0.000 0.564 0.163 1
Y5 0.000 0.000 0.000 1
Y6 0.500 0.062 0.164 1
Y7 0.500 0.938 0.836 1
La1 0.500 0.378 0.673 1
La2 0.500 0.622 0.327 1
Pr1 0.000 0.118 0.340 1
Pr2 0.500 0.500 0.000 1
Pr3 0.000 0.882 0.660 1
```


Record 4
A plane-wave DFT calculation with PBE-GGA was carried out for SiPb3Au after structural relaxation.

Calculated values
V, Å³ per atom: 33.492
DOS at the Fermi energy, states/eV per cell: 3.0
Density, g/cm3: 8.40
Relative energy among the computed polymorphs, meV/atom: 73
Formation energy (no corrections), meV per atom: 670
Spin magnetization, μB/f.u.: 0.0

Geometry as CIF:
```
data_SiPb3Au
_symmetry_space_group_name_H-M 'P 1'
_symmetry_Int_Tables_number 1
_cell_length_a 5.512
_cell_length_b 5.512
_cell_length_c 5.512
_cell_angle_alpha 90.00
_cell_angle_beta 90.00
_cell_angle_gamma 90.00
loop_
_symmetry_equiv_pos_as_xyz
'x,y,z'
loop_
_atom_site_label
_atom_site_fract_x
_atom_site_fract_y
_atom_site_fract_z
_atom_site_occupancy
Pb1 0.000 0.500 0.000 1
Pb2 0.000 0.000 0.500 1
Pb3 0.500 0.000 0.000 1
Au1 0.000 0.000 0.000 1
Si1 0.500 0.500 0.500 1
```


Record 5
A plane-wave DFT calculation with PBE-GGA was carried out for Er2ZrAg after structural relaxation.

Calculated values
V, Å³ per atom: 24.912
DOS at the Fermi energy, states/eV per cell: 3.8
Density, g/cm3: 8.89
Relative energy among the computed polymorphs, meV/atom: 0
Energy relative to the elements, eV per atom: -0.14
Spin magnetization, μB/f.u.: 0.0

Geometry as CIF:
```
data_Er2ZrAg
_symmetry_space_group_name_H-M 'P 1'
_symmetry_Int_Tables_number 1
_cell_length_a 3.415
_cell_length_b 3.415
_cell_length_c 8.546
_cell_angle_alpha 90.00
_cell_angle_beta 90.00
_cell_angle_gamma 90.00
loop_
_symmetry_equiv_pos_as_xyz
'x,y,z'
loop_
_atom_site_label
_atom_site_fract_x
_atom_site_fract_y
_atom_site_fract_z
_atom_site_occupancy
Er1 0.000 0.000 0.235 1
Er2 0.000 0.000 0.765 1
Ag1 0.500 0.500 0.000 1
Zr1 0.500 0.500 0.500 1
```


Record 6
A plane-wave DFT calculation with PBE-GGA was carried out for Dy5In2Co2 after structural relaxation.

Calculated values
V, Å³ per atom: 24.654
DOS at the Fermi energy, states/eV per cell: 12.8
Density, g/cm3: 8.68
Energy relative to the elements, eV per atom: -0.28
Spin magnetization, μB/f.u.: 0.0

Geometry as CIF:
```
data_Dy5In2Co2
_symmetry_space_group_name_H-M 'P 1'
_symmetry_Int_Tables_number 1
_cell_length_a 7.310
_cell_length_b 7.303
_cell_length_c 9.080
_cell_angle_alpha 90.00
_cell_angle_beta 66.26
_cell_angle_gamma 90.00
loop_
_symmetry_equiv_pos_as_xyz
'x,y,z'
loop_
_atom_site_label
_atom_site_fract_x
_atom_site_fract_y
_atom_site_fract_z
_atom_site_occupancy
In1 0.728 0.500 0.544 1
In2 0.228 0.000 0.544 1
In3 0.772 0.000 0.456 1
In4 0.272 0.500 0.456 1
Dy1 0.568 0.820 0.232 1
Dy2 0.199 0.180 0.232 1
Dy3 0.801 0.820 0.768 1
Dy4 0.932 0.320 0.768 1
Dy5 0.432 0.180 0.768 1
Dy6 0.068 0.680 0.232 1
Dy7 0.000 0.000 0.000 1
Dy8 0.301 0.680 0.768 1
Dy9 0.500 0.500 0.000 1
Dy10 0.699 0.320 0.232 1
Co1 0.889 0.610 0.000 1
Co2 0.389 0.890 0.000 1
Co3 0.611 0.110 0.000 1
Co4 0.111 0.390 0.000 1
```